Record 1
## Li3TbY2S6 (GGA-PBE)

Data for an optimized crystal structure of Li3TbY2S6.

a = 6.794 Å, b = 6.794 Å, c = 6.580 Å
α = 99.90°, β = 99.90°, γ = 120.00°
Fractional coordinates of all 12 atoms:
S 0.418 0.084 0.251
S 0.084 0.418 0.251
Y 0.667 0.333 0.000
Li 0.832 0.168 0.500
S 0.582 0.916 0.749
S 0.250 0.250 0.749
Li 0.500 0.500 0.500
Tb 0.000 0.000 0.000
S 0.916 0.582 0.749
S 0.750 0.750 0.251
Y 0.333 0.667 0.000
Li 0.168 0.832 0.500

Calculated values
- DFT total energy: -5.8546 eV per atom
- Size of the total moment: 0.00 μB/f.u.
- Uncorrected formation energy: -2141.0 kJ/mol of formula units


Record 2
## LiTb3Y2S6 (GGA-PBE)

Data for an optimized crystal structure of LiTb3Y2S6.

a = 6.755 Å, b = 6.755 Å, c = 6.768 Å
α = 99.61°, β = 99.61°, γ = 120.14°
Fractional coordinates of all 12 atoms:
S 0.081 0.407 0.245
Li 0.000 0.000 0.000
Tb 0.166 0.834 0.500
S 0.407 0.081 0.245
S 0.757 0.757 0.242
Tb 0.500 0.500 0.500
Y 0.666 0.334 0.000
Y 0.334 0.666 0.000
S 0.919 0.593 0.755
S 0.593 0.919 0.755
Tb 0.834 0.166 0.500
S 0.243 0.243 0.758

Calculated values
- DFT total energy: -6.4268 eV per atom
- Size of the total moment: 0.00 μB/f.u.
- Uncorrected formation energy: -2279.3 kJ/mol of formula units


Record 3
## LiTbYS3 (GGA-PBE)

Data for an optimized crystal structure of LiTbYS3.

a = 3.796 Å, b = 8.054 Å, c = 8.351 Å
α = 101.91°, β = 90.00°, γ = 90.00°
Fractional coordinates of all 12 atoms:
Li 0.750 0.913 0.417
Y 0.250 0.183 0.218
Tb 0.250 0.660 0.170
S 0.250 0.785 0.510
S 0.750 0.418 0.171
S 0.250 0.093 0.868
Y 0.750 0.817 0.782
S 0.750 0.215 0.490
S 0.750 0.907 0.132
S 0.250 0.582 0.829
Tb 0.750 0.340 0.830
Li 0.250 0.087 0.583

Calculated values
- DFT total energy: -6.0370 eV per atom
- Size of the total moment: 0.00 μB/f.u.
- Uncorrected formation energy: -1045.1 kJ/mol of formula units


Record 4
## LiTbY2S5 (GGA-PBE)

Data for an optimized crystal structure of LiTbY2S5.

a = 3.904 Å, b = 8.345 Å, c = 11.829 Å
α = 90.00°, β = 90.00°, γ = 103.53°
Fractional coordinates of all 18 atoms:
S 0.308 0.615 0.339
S 0.636 0.273 0.502
Y 0.108 0.216 0.684
Tb 0.196 0.393 0.000
S 0.364 0.727 0.002
Tb 0.804 0.607 0.500
Y 0.123 0.246 0.292
Y 0.892 0.784 0.184
S 0.955 0.910 0.575
S 0.045 0.090 0.075
S 0.692 0.385 0.839
S 0.287 0.575 0.663
S 0.713 0.425 0.163
S 0.500 0.001 0.785
Y 0.877 0.754 0.792
Li 0.488 0.975 0.483
S 0.500 0.999 0.285
Li 0.512 0.025 0.983

Calculated values
- DFT total energy: -6.3268 eV per atom
- Size of the total moment: 0.00 μB/f.u.
- Uncorrected formation energy: -1624.0 kJ/mol of formula units


Record 5
## LiTb2Y3S6 (GGA-PBE)

Data for an optimized crystal structure of LiTb2Y3S6.

a = 6.755 Å, b = 6.755 Å, c = 6.762 Å
α = 99.62°, β = 99.62°, γ = 120.13°
Fractional coordinates of all 12 atoms:
S 0.918 0.593 0.753
Tb 0.334 0.666 0.000
Tb 0.666 0.334 0.000
S 0.407 0.082 0.247
S 0.593 0.918 0.753
Y 0.834 0.166 0.500
S 0.758 0.758 0.243
S 0.082 0.407 0.247
Y 0.500 0.500 0.500
Y 0.166 0.834 0.500
S 0.242 0.242 0.757
Li 0.000 0.000 0.000

Calculated values
- DFT total energy: -6.5791 eV per atom
- Size of the total moment: 0.00 μB/f.u.
- Uncorrected formation energy: -2278.8 kJ/mol of formula units


Record 6
## LiTb3Y4S8 (GGA-PBE)

Data for an optimized crystal structure of LiTb3Y4S8.

a = 7.815 Å, b = 7.815 Å, c = 7.815 Å
α = 120.00°, β = 120.00°, γ = 90.00°
Fractional coordinates of all 16 atoms:
S 0.755 0.254 0.999
S 0.245 0.746 0.491
S 0.245 0.746 0.001
Li 0.000 0.500 0.000
Y 0.000 0.000 0.500
Tb 0.500 0.500 0.500
Y 0.000 0.000 0.000
S 0.750 0.751 0.501
Tb 0.000 0.500 0.500
Y 0.500 0.000 0.000
Y 0.500 0.000 0.500
S 0.755 0.254 0.509
Tb 0.500 0.500 0.000
S 0.755 0.746 0.001
S 0.250 0.249 0.499
S 0.245 0.254 0.999

Calculated values
- DFT total energy: -6.6373 eV per atom
- Size of the total moment: 0.00 μB/f.u.
- Uncorrected formation energy: -3040.9 kJ/mol of formula units